[1]
Density functional theory data (PBE-GGA) for crystalline KTcBr2 at its relaxed geometry.

Properties
Crystal system = tetragonal
Raw formation energy = -11 kJ/mol of formula units
Symmetry = I-42d, No. 122
DOS(E_F) = 1.44 states/eV/cell

Cell: 8.4665 8.4665 8.4665 Å, 137.36 137.36 61.89°
Closest atoms and distances in Å follow each position.
Fractional coordinates of all 8 atoms:
K1 0.0000 0.0000 0.0000  4 Br 3.22
K2 0.7500 0.2500 0.5000  4 Br 3.22
Tc1 0.2500 0.7500 0.5000  4 Br 2.55
Tc2 0.5000 0.5000 0.0000  4 Br 2.55
Br1 0.2274 0.6250 0.1024  2 Tc 2.55
Br2 0.3750 0.4774 0.6024  2 Tc 2.55
Br3 0.5226 0.1250 0.8976  2 Tc 2.55
Br4 0.8750 0.7726 0.3976  2 Tc 2.55

[2]
Density functional theory data (PBE-GGA) for crystalline ErBeB4 at its relaxed geometry.

Properties
Crystal system = orthorhombic
Formation energy = -0.468 eV per atom
Symmetry = Cmmm, No. 65
DOS(E_F) = 2.01 states/eV/cell

Cell: 5.8570 5.8570 3.3404 Å, 90.00 90.00 104.10°
Closest atoms and distances in Å follow each position.
Fractional coordinates of all 12 atoms:
Er1 0.1982 0.8018 0.0000  14 B 2.57-2.67
Er2 0.8018 0.1982 0.0000  14 B 2.57-2.67
Be1 0.3250 0.3250 0.0000  10 B 2.21-2.25
Be2 0.6750 0.6750 0.0000  10 B 2.21-2.25
B1 0.1206 0.4344 0.5000  3 B 1.72-1.82
B2 0.1249 0.1249 0.5000  3 B 1.80-1.82
B3 0.4099 0.5901 0.5000  3 B 1.67-1.72
B4 0.4344 0.1206 0.5000  3 B 1.72-1.82
B5 0.5656 0.8794 0.5000  3 B 1.72-1.82
B6 0.5901 0.4099 0.5000  3 B 1.67-1.72
B7 0.8751 0.8751 0.5000  3 B 1.80-1.82
B8 0.8794 0.5656 0.5000  3 B 1.72-1.82

[3]
Density functional theory data (PBE-GGA) for crystalline SrInSnPd3 at its relaxed geometry.

Properties
Crystal system = orthorhombic
Formation energy = -0.462 eV per atom
Symmetry = Cmcm, No. 63
DOS(E_F) = 5.41 states/eV/cell

Cell: 7.2670 7.2670 6.3518 Å, 90.00 90.00 122.93°
Closest atoms and distances in Å follow each position.
Fractional coordinates of all 12 atoms:
Sr1 0.1931 0.8069 0.7500  1 In 3.24, 6 Pd 3.26-3.49, 2 Sn 3.27
Sr2 0.8069 0.1931 0.2500  1 In 3.24, 6 Pd 3.26-3.49, 2 Sn 3.27
In1 0.4472 0.5528 0.7500  5 Pd 2.67-2.74
In2 0.5528 0.4472 0.2500  5 Pd 2.67-2.74
Sn1 0.1310 0.8690 0.2500  5 Pd 2.65-2.71
Sn2 0.8690 0.1310 0.7500  5 Pd 2.65-2.71
Pd1 0.2057 0.2057 0.0000  2 In 2.67, 2 Sn 2.71, 1 Pd 2.86
Pd2 0.2057 0.2057 0.5000  2 In 2.67, 2 Sn 2.71, 1 Pd 2.86
Pd3 0.3385 0.6615 0.2500  1 Sn 2.65, 1 In 2.74
Pd4 0.6615 0.3385 0.7500  1 Sn 2.65, 1 In 2.74
Pd5 0.7943 0.7943 0.0000  2 In 2.67, 2 Sn 2.71, 1 Pd 2.86
Pd6 0.7943 0.7943 0.5000  2 In 2.67, 2 Sn 2.71, 1 Pd 2.86

Please write out number 2 again, unchanged.
Density functional theory data (PBE-GGA) for crystalline ErBeB4 at its relaxed geometry.

Properties
Crystal system = orthorhombic
Formation energy = -0.468 eV per atom
Symmetry = Cmmm, No. 65
DOS(E_F) = 2.01 states/eV/cell

Cell: 5.8570 5.8570 3.3404 Å, 90.00 90.00 104.10°
Closest atoms and distances in Å follow each position.
Fractional coordinates of all 12 atoms:
Er1 0.1982 0.8018 0.0000  14 B 2.57-2.67
Er2 0.8018 0.1982 0.0000  14 B 2.57-2.67
Be1 0.3250 0.3250 0.0000  10 B 2.21-2.25
Be2 0.6750 0.6750 0.0000  10 B 2.21-2.25
B1 0.1206 0.4344 0.5000  3 B 1.72-1.82
B2 0.1249 0.1249 0.5000  3 B 1.80-1.82
B3 0.4099 0.5901 0.5000  3 B 1.67-1.72
B4 0.4344 0.1206 0.5000  3 B 1.72-1.82
B5 0.5656 0.8794 0.5000  3 B 1.72-1.82
B6 0.5901 0.4099 0.5000  3 B 1.67-1.72
B7 0.8751 0.8751 0.5000  3 B 1.80-1.82
B8 0.8794 0.5656 0.5000  3 B 1.72-1.82

What did the first record say?
Density functional theory data (PBE-GGA) for crystalline KTcBr2 at its relaxed geometry.

Properties
Crystal system = tetragonal
Raw formation energy = -11 kJ/mol of formula units
Symmetry = I-42d, No. 122
DOS(E_F) = 1.44 states/eV/cell

Cell: 8.4665 8.4665 8.4665 Å, 137.36 137.36 61.89°
Closest atoms and distances in Å follow each position.
Fractional coordinates of all 8 atoms:
K1 0.0000 0.0000 0.0000  4 Br 3.22
K2 0.7500 0.2500 0.5000  4 Br 3.22
Tc1 0.2500 0.7500 0.5000  4 Br 2.55
Tc2 0.5000 0.5000 0.0000  4 Br 2.55
Br1 0.2274 0.6250 0.1024  2 Tc 2.55
Br2 0.3750 0.4774 0.6024  2 Tc 2.55
Br3 0.5226 0.1250 0.8976  2 Tc 2.55
Br4 0.8750 0.7726 0.3976  2 Tc 2.55

The highest DOS(E_F) belongs to which entry? SrInSnPd3

Which of these has the highest DOS(E_F)? SrInSnPd3